Entry 1:
DFT (PBE) results for a geometry-optimized CoRu2Au structure.

The structure in POSCAR format:
```
CoRu2Au
1.0
-1.3914 4.0790 0.6437
-2.9282 0.8369 3.1167
1.1942 2.1691 3.5858
Ru Au Co
2 1 1
direct
0.2500 0.2500 0.2500
0.0000 0.0000 0.0000
0.5000 0.5000 0.5000
0.7500 0.7500 0.7500
```

Summary:
Formation energy   0.5377 eV/atom
Energy relative to the lowest polymorph listed for this composition   289 meV/atom
DOS(E_F)   1.1529 states/eV/atom
Mass density   13.00 Mg/m³
Electronic total energy   -6.696 eV/atom

Entry 2:
DFT (PBE) results for a geometry-optimized YThRh2 structure.

The structure in POSCAR format:
```
YThRh2
1.0
3.6213 0.0000 -1.3210
0.0000 4.2679 0.0000
0.0374 0.0000 5.7406
Y Rh Th
1 2 1
direct
0.4450 0.5000 0.4291
0.1738 0.5000 0.8866
0.9894 0.0000 0.5178
0.7228 0.0000 0.9846
```

Summary:
Formation energy   -0.9041 eV/atom
Energy relative to the lowest polymorph listed for this composition   0 meV/atom
DOS(E_F)   0.5821 states/eV/atom
Mass density   9.84 Mg/m³
Electronic total energy   -8.051 eV/atom

Entry 3:
DFT (PBE) results for a geometry-optimized Tb6HoEr2Th3 structure.

The structure in POSCAR format:
```
Tb6HoEr2Th3
1.0
6.1676 0.0015 0.0057
-3.0810 5.3429 0.0057
-1.0401 -1.8009 11.5637
Tb Th Er Ho
6 3 2 1
direct
0.9160 0.5826 0.7474
0.4174 0.0840 0.2526
0.7505 0.7505 0.2526
0.0840 0.4174 0.2526
0.5826 0.9160 0.7474
0.2495 0.2495 0.7474
0.8334 0.1666 0.5000
0.5000 0.5000 0.5000
0.1666 0.8334 0.5000
0.6667 0.3333 0.0000
0.3333 0.6667 0.0000
0.0000 0.0000 0.0000
```

Summary:
Formation energy   0.0264 eV/atom
DOS(E_F)   1.5261 states/eV/atom
Mass density   9.36 Mg/m³
Electronic total energy   -5.286 eV/atom

Entry 4:
DFT (PBE) results for a geometry-optimized CaFeNiC structure.

The structure in POSCAR format:
```
CaFeNiC
1.0
3.4317 0.0000 0.0000
0.0000 3.4317 0.0000
0.0000 0.0000 9.7432
C Ca Ni Fe
2 2 2 2
direct
0.2500 0.2500 0.0860
0.7500 0.7500 0.9140
0.7500 0.7500 0.2547
0.2500 0.2500 0.7453
0.2500 0.7500 0.5000
0.7500 0.2500 0.5000
0.7500 0.2500 0.0000
0.2500 0.7500 0.0000
```

Summary:
Formation energy   0.0036 eV/atom
DOS(E_F)   1.1034 states/eV/atom
Mass density   4.82 Mg/m³
Electronic total energy   -6.364 eV/atom

Entry 5:
DFT (PBE) results for a geometry-optimized Zn2FeGe structure.

The structure in POSCAR format:
```
Zn2FeGe
1.0
7.2131 0.0000 0.0000
0.0000 7.2131 0.0000
3.6065 3.6065 2.4338
Fe Zn Ge
2 4 2
direct
0.2500 0.7500 0.5000
0.5000 0.5000 0.0000
0.6109 0.1250 0.2500
0.8750 0.8609 0.7500
0.3750 0.3891 0.7500
0.1391 0.6250 0.2500
0.7500 0.2500 0.5000
0.0000 0.0000 0.0000
```

Summary:
Formation energy   0.3328 eV/atom
DOS(E_F)   0.4735 states/eV/atom
Mass density   6.80 Mg/m³
Electronic total energy   -3.574 eV/atom

Entry 6:
DFT (PBE) results for a geometry-optimized Pu3H4Pt2 structure.

The structure in POSCAR format:
```
Pu3H4Pt2
1.0
4.3111 0.0000 0.0000
2.1555 5.4369 -0.7681
2.1555 1.6839 5.2263
Pu H Pt
3 4 2
direct
0.2944 0.2056 0.2056
0.7056 0.7944 0.7944
0.5000 0.5000 0.5000
0.7942 0.0299 0.3816
0.7942 0.3816 0.0299
0.2058 0.6184 0.9701
0.2058 0.9701 0.6184
0.0000 0.2042 0.7958
0.0000 0.7958 0.2042
```

Summary:
DOS(E_F)   2.4754 states/eV/atom
Mass density   14.60 Mg/m³
Electronic total energy   -8.046 eV/atom